The following is a DFT calculation (PBE) of a relaxed structure of Y2ReNi.

a = 4.042 Å, b = 4.247 Å, c = 10.292 Å
α = 90.00°, β = 90.00°, γ = 90.00°
Space group Amm2 (No. 38)
Asymmetric unit:
1 Y 0.000 0.000 0.000
2 Y 0.500 0.000 0.294
3 Re 0.500 0.000 0.590
4 Ni 0.000 0.000 0.707

- Energy relative to the elements: -0.05 eV per atom
- Uncorrected energy: -62.7 eV per cell
- Total moment: 0.17 μB/cell


The following is a DFT calculation (PBE) of a relaxed structure of DyEr6Te8.

a = 12.180 Å, b = 12.180 Å, c = 12.180 Å
α = 90.00°, β = 90.00°, γ = 90.00°
Space group Fm-3m (No. 225)
Asymmetric unit:
1 Dy 0.000 0.000 0.000
2 Er 0.000 0.250 0.250
3 Te 0.000 0.000 0.257
4 Te 0.250 0.250 0.250

- Raw formation energy: -1.316 eV per atom
- Uncorrected energy: -307.4 eV per cell
- Total moment: 0.00 μB/cell


> Which value of total moment does entry 1 give?

0.17 μB/cell


> uncorrected energy of number 2 (DyEr6Te8)?

-307.4 eV per cell